No. 1
This record from the Alexandria database describes a relaxed CrCd2Te crystal. The functional is GGA-PBE.

Summary:
The crystal system is trigonal. The calculation puts the formation energy from raw total energies at 0.179 eV per atom. The magnetization is 0.7999 μB per atom. The value obtained for the total energy is -3.47 eV/atom.

Cell: 3.6511 3.6511 25.5605 Å, 90.00 90.00 120.00°
Space group R3m (No. 160, hexagonal axes)
One atom of each set of equivalent atoms:
Cr: 0.0000 0.0000 0.0000 x3
Cd: 0.0000 0.0000 0.2533 x3
Cd: 0.0000 0.0000 0.5014 x3
Te: 0.0000 0.0000 0.7291 x3

No. 2
This record from the Alexandria database describes a relaxed Cr2CdTe2 crystal. The functional is GGA-PBE.

Summary:
The value obtained for the polymorph energy (0 for the lowest one) is 0 meV/atom. The crystal system is tetragonal. The calculation puts the formation energy from raw total energies at 0.112 eV per atom. The magnetization is 0.1221 μB per atom. The value obtained for the total energy is -5.18 eV/atom.

Cell: 3.620 3.620 19.267 Å, 90.00 90.00 90.00°
Space group I4/mmm (No. 139)
One atom of each set of equivalent atoms:
Cr: 0.000 0.500 0.250 x4
Cd: 0.000 0.000 0.000 x2
Te: 0.000 0.000 0.348 x4

No. 3
This record from the Alexandria database describes a relaxed CrCd2Te crystal. The functional is GGA-PBE.

Summary:
The crystal system is tetragonal. The calculation puts the formation energy from raw total energies at 0.222 eV per atom. The magnetization is 1.0055 μB per atom. The value obtained for the total energy is -3.43 eV/atom.

Cell: 4.072 4.072 11.345 Å, 90.00 90.00 90.00°
Space group I4/mmm (No. 139)
One atom of each set of equivalent atoms:
Cr: 0.000 0.000 0.000 x2
Cd: 0.000 0.500 0.250 x4
Te: 0.000 0.000 0.500 x2

No. 4
This record from the Alexandria database describes a relaxed CrCd2Te crystal. The functional is GGA-PBE.

Summary:
The crystal system is trigonal. The calculation puts the formation energy from raw total energies at 0.409 eV per atom. The magnetization is 1.0868 μB per atom. The value obtained for the total energy is -3.24 eV/atom.

Cell: 3.2113 3.2113 31.7795 Å, 90.00 90.00 120.00°
Space group R-3m (No. 166, hexagonal axes)
One atom of each set of equivalent atoms:
Cr: 0.0000 0.0000 0.0000 x3
Cd: 0.0000 0.0000 0.2618 x6
Te: 0.0000 0.0000 0.5000 x3

No. 5
This record from the Alexandria database describes a relaxed CrCdTe2 crystal. The functional is GGA-PBE.

Summary:
The crystal system is orthorhombic. The calculation puts the formation energy from raw total energies at 0.178 eV per atom. The magnetization is 0.6912 μB per atom. The value obtained for the total energy is -4.03 eV/atom.

Cell: 4.643 4.654 9.411 Å, 90.00 90.00 90.00°
Space group Cmm2 (No. 35)
One atom of each set of equivalent atoms:
Cr: 0.000 0.000 0.000 x2
Cd: 0.000 0.500 0.791 x2
Te: 0.000 0.000 0.519 x2
Te: 0.000 0.500 0.155 x2

No. 6
This record from the Alexandria database describes a relaxed CrCd2Te crystal. The functional is GGA-PBE.

Summary:
The crystal system is tetragonal. The calculation puts the formation energy from raw total energies at 0.278 eV per atom. The magnetization is 0.9702 μB per atom. The value obtained for the total energy is -3.37 eV/atom.

Cell: 4.526 4.526 8.875 Å, 90.00 90.00 90.00°
Space group I-4m2 (No. 119)
One atom of each set of equivalent atoms:
Cr: 0.000 0.000 0.000 x2
Cd: 0.000 0.000 0.500 x2
Cd: 0.000 0.500 0.250 x2
Te: 0.000 0.500 0.750 x2

No. 7
This record from the Alexandria database describes a relaxed CrCdTe2 crystal. The functional is GGA-PBE.

Summary:
The crystal system is tetragonal. The calculation puts the formation energy from raw total energies at -0.142 eV per atom. The magnetization is 1.0000 μB per atom. The value obtained for the total energy is -4.35 eV/atom.

Cell: 6.418 6.418 12.889 Å, 90.00 90.00 90.00°
Space group I-42d (No. 122)
One atom of each set of equivalent atoms:
Cr: 0.000 0.000 0.000 x4
Cd: 0.000 0.000 0.500 x4
Te: 0.226 0.250 0.125 x8

No. 8
This record from the Alexandria database describes a relaxed CrCd2Te crystal. The functional is GGA-PBE.

Summary:
The crystal system is orthorhombic. The calculation puts the formation energy from raw total energies at 0.248 eV per atom. The magnetization is 1.0115 μB per atom. The value obtained for the total energy is -3.40 eV/atom.

Cell: 5.630 8.288 4.061 Å, 90.00 90.00 90.00°
Space group Cmmm (No. 65)
One atom of each set of equivalent atoms:
Cr: 0.000 0.000 0.000 x2
Cd: 0.250 0.250 0.500 x4
Te: 0.000 0.500 0.000 x2

No. 9
This record from the Alexandria database describes a relaxed CrCd2Te crystal. The functional is GGA-PBE.

Summary:
The crystal system is tetragonal. The calculation puts the formation energy from raw total energies at 0.175 eV per atom. The magnetization is 0.9573 μB per atom. The value obtained for the total energy is -3.47 eV/atom.

Cell: 3.779 3.779 6.489 Å, 90.00 90.00 90.00°
Space group P4mm (No. 99)
One atom of each set of equivalent atoms:
Cr: 0.000 0.000 0.000 x1
Cd: 0.000 0.000 0.498 x1
Cd: 0.500 0.500 0.706 x1
Te: 0.500 0.500 0.157 x1

No. 10
This record from the Alexandria database describes a relaxed Cr2CdTe2 crystal. The functional is GGA-PBE.

Summary:
The value obtained for the polymorph energy (0 for the lowest one) is 171 meV/atom. The crystal system is tetragonal. The calculation puts the formation energy from raw total energies at 0.283 eV per atom. The magnetization is 1.6128 μB per atom. The value obtained for the total energy is -5.01 eV/atom.

Cell: 8.078 8.078 3.596 Å, 90.00 90.00 90.00°
Space group P4/mbm (No. 127)
One atom of each set of equivalent atoms:
Cr: 0.138 0.362 0.000 x4
Cd: 0.000 0.000 0.500 x2
Te: 0.158 0.658 0.500 x4

No. 11
This record from the Alexandria database describes a relaxed CrCd2Te crystal. The functional is GGA-PBE.

Summary:
The crystal system is monoclinic. The calculation puts the formation energy from raw total energies at 0.189 eV per atom. The magnetization is 0.9042 μB per atom. The value obtained for the total energy is -3.46 eV/atom.

Cell: 4.191 3.645 6.747 Å, 90.00 108.09 90.00°
Space group Pm (No. 6)
One atom of each set of equivalent atoms:
Cr: 0.000 0.000 0.000 x1
Cd: 0.224 0.000 0.440 x1
Cd: 0.581 0.500 0.160 x1
Te: 0.852 0.500 0.696 x1

No. 12
This record from the Alexandria database describes a relaxed Cr2CdTe crystal. The functional is GGA-PBE.

Summary:
The value obtained for the polymorph energy (0 for the lowest one) is 160 meV/atom. The crystal system is orthorhombic. The calculation puts the formation energy from raw total energies at 0.469 eV per atom. The magnetization is 1.9792 μB per atom. The value obtained for the total energy is -5.36 eV/atom.

Cell: 3.588 4.264 11.347 Å, 90.00 90.00 90.00°
Space group Imm2 (No. 44)
One atom of each set of equivalent atoms:
Cr: 0.000 0.000 0.000 x2
Cr: 0.000 0.500 0.259 x2
Cd: 0.000 0.000 0.444 x2
Te: 0.000 0.500 0.688 x2

Q: Which of these has the highest formation energy from raw total energies?
A: Cr2CdTe